Below is an optimized crystal structure of Dy6Tm4Th, with properties calculated at the PBE level.

Lattice parameters (Å, degrees): 6.5443 6.5443 16.8459 90.00 90.00 90.00
With the nearest neighbours (Å) after each atom.
Space group I-42m (No. 121)
Asymmetric unit:
Dy  0.0000  0.5000  0.0000  4 Tm 3.23, 2 Th 3.27
Dy  0.1890  0.1890  0.1743  5 Tm 3.32-3.48, 1 Th 3.42, 1 Dy 3.50
Tm  0.1853  0.1853  0.3712  7 Dy 3.23-3.48, 1 Tm 3.43
Th  0.0000  0.0000  0.0000  8 Dy 3.27-3.42, 4 Tm 3.63

Its density of states at the Fermi level is 34.143 states/eV per cell. As for the total energy: -4.482 eV/atom. Its relative energy among the computed polymorphs is 17.6 kJ per mole of atoms. The calculation puts the formation energy from the elements at 0.3285 eV per atom.

Below is an optimized crystal structure of Pr3PaRh4, with properties calculated at the PBE level.

Lattice parameters (Å, degrees): 5.7735 9.2634 7.9724 90.00 117.62 90.00
With the nearest neighbours (Å) after each atom.
Space group P2/c (No. 13)
Asymmetric unit:
Pr  0.0000  0.1186  0.2500  6 Rh 2.92-2.94
Pr  0.5000  0.1305  0.7500  6 Rh 3.06-3.42
Pr  0.5000  0.3764  0.2500  8 Rh 3.03-3.36
Pa  0.0000  0.3794  0.7500  6 Rh 2.59-2.76
Rh  0.1568  0.3870  0.4712  2 Pa 2.67-2.76, 1 Pr 2.94, 1 Rh 2.94
Rh  0.1722  0.1518  0.9601  1 Pa 2.59

Its density of states at the Fermi level is 10.402 states/eV per cell. As for the total energy: -7.328 eV/atom. The calculation puts the formation energy from the elements at -0.6731 eV per atom.

Below is an optimized crystal structure of YEr2Hg5, with properties calculated at the PBE level.

Lattice parameters (Å, degrees): 5.1802 5.1802 14.5677 90.00 90.00 90.00
With the nearest neighbours (Å) after each atom.
Space group I4/mmm (No. 139)
Asymmetric unit:
Y  0.0000  0.0000  0.0000  8 Hg 3.18
Er  0.0000  0.0000  0.2640  8 Hg 3.04-3.27
Hg  0.0000  0.0000  0.5000  8 Hg 3.18, 2 Er 3.44
Hg  0.0000  0.5000  0.1265  4 Er 3.04-3.27, 2 Hg 3.18, 2 Y 3.18

Its density of states at the Fermi level is 7.087 states/eV per cell. As for the total energy: -2.558 eV/atom. The calculation puts the formation energy from the elements at -0.4207 eV per atom.